Entry from Alexandria via LeMat-Bulk: crystalline CsSbHIr at its relaxed geometry (PBE).

The structure belongs to space group Amm2 (No. 38); the cell edges are 6.330, 3.661 and 8.936 Å and the angles 90.00°, 90.00° and 90.00°. The distinct sites, in fractional coordinates, are Cs at (0.000, 0.000, 0.000), Sb at (0.500, 0.000, 0.299), H at (0.500, 0.000, 0.039) and Ir at (0.500, 0.000, 0.591).

The density comes out at 7.18 g/cm3. The offset from the most stable computed form is 0.0930 eV per atom. The total energy comes out at -4.33 eV per atom.